A geometry-optimized BaSmEu2 structure, computed with PBE.

Geometry as POSCAR:
```
BaSmEu2
1.0
8.852 0.000 0.000
0.000 8.852 0.000
0.000 0.000 8.852
Ba Sm Eu
4 4 8
Direct
0.000 0.000 0.000 Ba
0.000 0.500 0.500 Ba
0.500 0.000 0.500 Ba
0.500 0.500 0.000 Ba
0.000 0.000 0.500 Sm
0.000 0.500 0.000 Sm
0.500 0.000 0.000 Sm
0.500 0.500 0.500 Sm
0.250 0.250 0.250 Eu
0.250 0.250 0.750 Eu
0.250 0.750 0.250 Eu
0.250 0.750 0.750 Eu
0.750 0.250 0.250 Eu
0.750 0.250 0.750 Eu
0.750 0.750 0.250 Eu
0.750 0.750 0.750 Eu
```

Summary:
As for the space-group type: Fm-3m (225). The calculation puts the total DFT energy (no corrections) at -6.65 eV/atom. The value obtained for the energy relative to the lowest polymorph listed for this composition is 54 meV/atom. As for the total moment: 3.76 μB/atom. The value obtained for the formation energy is 0.15 eV/atom.


A geometry-optimized HoHfPa2As4 structure, computed with PBE.

Geometry as POSCAR:
```
HoHfPa2As4
1.0
6.928 0.000 0.000
0.000 4.042 0.000
-2.355 0.000 6.576
Ho Hf Pa As
1 1 2 4
Direct
0.000 0.000 0.000 Ho
0.000 0.500 0.500 Hf
0.500 0.000 0.500 Pa
0.500 0.500 0.000 Pa
0.237 0.000 0.739 As
0.242 0.500 0.254 As
0.758 0.500 0.746 As
0.763 0.000 0.261 As
```

Summary:
As for the space-group type: P2/m (10). The calculation puts the total DFT energy (no corrections) at -7.65 eV/atom. As for the total moment: 0.00 μB/atom. The value obtained for the formation energy is -1.14 eV/atom.


A geometry-optimized BaAgHgBi2 structure, computed with PBE.

Geometry as POSCAR:
```
BaAgHgBi2
1.0
5.649 0.000 0.000
0.000 5.649 0.000
0.000 0.000 5.488
Ba Ag Hg Bi
1 1 1 2
Direct
0.000 0.000 0.000 Ba
0.500 0.500 0.500 Ag
0.500 0.500 0.000 Hg
0.000 0.500 0.500 Bi
0.500 0.000 0.500 Bi
```

Summary:
As for the space-group type: P4/mmm (123). The calculation puts the total DFT energy (no corrections) at -2.75 eV/atom. As for the total moment: 0.00 μB/atom. The value obtained for the formation energy is -0.18 eV/atom.